Entry 1:
A plane-wave DFT calculation with PBE was carried out for crystalline TbU2ReC4 at its relaxed geometry.

Computed properties:
Total magnetic moment = 2.3 μB/cell
ΔH_f (0 K) = -0.040 eV/atom
Uncorrected energy = -307.49 eV/cell

a b c (Å): 3.5581 11.5879 11.6301
angles (deg): 90.00 90.00 90.00
With the nearest neighbours (Å) after each atom.
Space group Cmcm (No. 63)
One atom of each set of equivalent atoms:
Tb  0.0000  0.1202  0.2500 [4 per cell]  6 C 2.69-2.71
U  0.0000  0.3709  0.0439 [8 per cell]  6 C 2.32-2.55
Re  0.0000  0.1428  0.7500 [4 per cell]  4 C 2.02-2.06
C  0.0000  0.0000  0.0000 [4 per cell]  4 U 2.38
C  0.0000  0.2594  0.6212 [8 per cell]  1 Re 2.02
C  0.0000  0.4461  0.2500 [4 per cell]  2 Re 2.06

Entry 2:
A plane-wave DFT calculation with PBE was carried out for crystalline TbZr2ReC4 at its relaxed geometry.

Computed properties:
Total magnetic moment = 0.0 μB/cell
ΔH_f (0 K) = -0.317 eV/atom
Uncorrected energy = -294.44 eV/cell

a b c (Å): 3.3379 11.6979 11.6687
angles (deg): 90.00 90.00 90.00
With the nearest neighbours (Å) after each atom.
Space group Cmcm (No. 63)
One atom of each set of equivalent atoms:
Tb  0.0000  0.1024  0.2500 [4 per cell]  6 C 2.54-2.75
Zr  0.0000  0.3695  0.0377 [8 per cell]  5 C 2.23-2.47
Re  0.0000  0.1603  0.7500 [4 per cell]  4 C 1.93-2.03
C  0.0000  0.0000  0.0000 [4 per cell]  4 Zr 2.30
C  0.0000  0.2622  0.6201 [8 per cell]  1 Re 1.93
C  0.0000  0.4385  0.2500 [4 per cell]  2 Re 2.03